Density functional theory data (SCAN) for a crystal of Y2ScOs relaxed with PBEsol.

- formation enthalpy at 0 K (eV per atom) = -0.158
- energy relative to the lowest polymorph listed for this composition (kJ/mol of atoms) = 9.85
- energy (eV/atom) = -35.6091

Cell: 3.4817 4.9436 10.5591 Å, 90.00 90.00 90.00°
Last column: nearest neighbours and their distance in Å.
Space group Immm (No. 71)
Inequivalent atoms, fractional coordinates:
Y 0.0000 0.0000 0.2020 [4 per cell]  2 Os 2.75
Sc 0.0000 0.5000 0.0000 [2 per cell]  4 Os 3.02, 4 Y 3.26
Os 0.0000 0.5000 0.5000 [2 per cell]  4 Y 2.75, 4 Sc 3.02

=====

Density functional theory data (SCAN) for a crystal of LaCu2Ru relaxed with PBEsol.

- formation enthalpy at 0 K (eV per atom) = 0.223
- energy (eV/atom) = -26.8595

Cell: 4.0957 4.0957 7.8139 Å, 90.00 90.00 90.00°
Last column: nearest neighbours and their distance in Å.
Space group I-4m2 (No. 119)
Inequivalent atoms, fractional coordinates:
La 0.0000 0.0000 0.0000 [2 per cell]  4 Ru 2.83, 8 Cu 2.83-2.90
Cu 0.0000 0.0000 0.5000 [2 per cell]  4 Ru 2.83, 4 Cu 2.83, 4 La 2.90
Cu 0.0000 0.5000 0.7500 [2 per cell]  4 La 2.83, 4 Cu 2.83, 4 Ru 2.90
Ru 0.0000 0.5000 0.2500 [2 per cell]  4 La 2.83, 8 Cu 2.83-2.90

=====

Density functional theory data (SCAN) for a crystal of Hf3NbRh relaxed with PBEsol.

- formation enthalpy at 0 K (eV per atom) = 1.178
- energy (eV/atom) = -49.8057

Cell: 4.8742 4.8742 4.8742 Å, 90.00 90.00 90.00°
Last column: nearest neighbours and their distance in Å.
Space group Pm-3m (No. 221)
Inequivalent atoms, fractional coordinates:
Hf 0.0000 0.0000 0.5000 [3 per cell]  2 Nb 2.44
Nb 0.0000 0.0000 0.0000 [1 per cell]  6 Hf 2.44
Rh 0.5000 0.5000 0.5000 [1 per cell]  12 Hf 3.45

=====

Density functional theory data (SCAN) for a crystal of La2CdSi relaxed with PBEsol.

- formation energy without anion corrections (eV per atom) = 0.09
- energy (eV/atom) = -31.5658

Cell: 7.3269 7.3269 7.3269 Å, 90.00 90.00 90.00°
Last column: nearest neighbours and their distance in Å.
Space group F-43m (No. 216)
Inequivalent atoms, fractional coordinates:
La 0.0000 0.0000 0.0000 [4 per cell]  4 La 3.17, 4 Cd 3.17
La 0.2500 0.2500 0.2500 [4 per cell]  4 Si 3.17, 4 La 3.17
Cd 0.2500 0.2500 0.7500 [4 per cell]  4 La 3.17, 4 Si 3.17
Si 0.0000 0.0000 0.5000 [4 per cell]  4 Cd 3.17, 4 La 3.17

=====

Density functional theory data (SCAN) for a crystal of CsCo2Tc relaxed with PBEsol.

- formation enthalpy at 0 K (eV per atom) = 1.842
- energy (eV/atom) = -25.0281

Cell: 6.4256 6.4256 6.4256 Å, 90.00 90.00 90.00°
Last column: nearest neighbours and their distance in Å.
Space group Fm-3m (No. 225)
Inequivalent atoms, fractional coordinates:
Cs 0.0000 0.0000 0.0000 [4 per cell]  8 Co 2.78
Co 0.2500 0.2500 0.2500 [8 per cell]  4 Tc 2.78, 4 Cs 2.78
Tc 0.0000 0.0000 0.5000 [4 per cell]  8 Co 2.78

=====

Density functional theory data (SCAN) for a crystal of AuSeBr relaxed with PBEsol.

- formation energy without anion corrections (eV per atom) = -0.22
- energy (eV/atom) = -36.4559

Cell: 6.8523 11.7575 7.5356 Å, 90.00 90.00 90.00°
Last column: nearest neighbours and their distance in Å.
Space group Pnma (No. 62)
Inequivalent atoms, fractional coordinates:
Au 0.0843 0.2500 0.1381 [4 per cell]  2 Se 2.47, 2 Br 2.48
Au 0.1731 0.7500 0.2483 [4 per cell]  4 Se 2.50
Se 0.0772 0.1200 0.8815 [8 per cell]  3 Au 2.47-2.50
Br 0.0861 0.0991 0.3686 [8 per cell]  1 Au 2.48

=====

Density functional theory data (SCAN) for a crystal of Rh2PbI relaxed with PBEsol.

- formation energy without anion corrections (eV per atom) = 0.48
- energy (eV/atom) = -44.5330

Cell: 6.6852 6.6852 6.6852 Å, 90.00 90.00 90.00°
Last column: nearest neighbours and their distance in Å.
Space group Fm-3m (No. 225)
Inequivalent atoms, fractional coordinates:
Rh 0.2500 0.2500 0.2500 [8 per cell]  4 Pb 2.89, 4 I 2.89
Pb 0.0000 0.0000 0.0000 [4 per cell]  8 Rh 2.89
I 0.0000 0.0000 0.5000 [4 per cell]  8 Rh 2.89

=====

Density functional theory data (SCAN) for a crystal of NaAl3P2H4O12 relaxed with PBEsol.

- energy (eV/atom) = -8.6899

Cell: 7.0975 10.1208 12.4289 Å, 90.00 116.60 90.00°
Last column: nearest neighbours and their distance in Å.
Space group P2_1/c (No. 14)
Inequivalent atoms, fractional coordinates:
Na 0.2349 0.0770 0.1931 [4 per cell]  7 O 2.44-2.68
Al 0.0186 0.2160 0.4567 [4 per cell]  5 O 1.81-1.96
Al 0.2558 0.5714 0.2658 [4 per cell]  5 O 1.80-2.00
Al 0.4722 0.2408 0.5418 [4 per cell]  6 O 1.86-2.00
P 0.0578 0.6666 0.8085 [4 per cell]  4 O 1.53-1.57
P 0.4456 0.6891 0.6781 [4 per cell]  4 O 1.53-1.57
H 0.1926 0.0980 0.9275 [4 per cell]  1 O 0.99
H 0.2084 0.5055 0.0686 [4 per cell]  1 O 1.01
H 0.2707 0.6077 0.4699 [4 per cell]  1 O 0.99
H 0.2814 0.0358 0.4516 [4 per cell]  1 O 1.00
O 0.0445 0.7181 0.2214 [4 per cell]  1 P 1.57
O 0.0473 0.2152 0.6146 [4 per cell]  1 P 1.53
O 0.0585 0.0475 0.7723 [4 per cell]  1 P 1.55
O 0.1571 0.5772 0.1052 [4 per cell]  1 H 1.01
O 0.2095 0.6607 0.5925 [4 per cell]  1 P 1.56
O 0.2228 0.1536 0.9988 [4 per cell]  1 H 0.99
O 0.2716 0.1071 0.5041 [4 per cell]  1 H 1.00
O 0.2886 0.6222 0.8878 [4 per cell]  1 P 1.55
O 0.3535 0.6123 0.4239 [4 per cell]  1 H 0.99
O 0.4479 0.2316 0.3849 [4 per cell]  1 P 1.54
O 0.4560 0.0529 0.7784 [4 per cell]  1 P 1.53
O 0.4680 0.7233 0.2877 [4 per cell]  1 P 1.57

=====

Density functional theory data (SCAN) for a crystal of MnBeAsSe2 relaxed with PBEsol.

- formation energy without anion corrections (eV per atom) = 0.63
- energy (eV/atom) = -15.9606

Cell: 4.7488 4.7488 4.4348 Å, 90.00 90.00 90.00°
Last column: nearest neighbours and their distance in Å.
Space group P4/mmm (No. 123)
Inequivalent atoms, fractional coordinates:
Mn 0.0000 0.0000 0.0000 [1 per cell]  2 As 2.22, 4 Se 2.37
Be 0.5000 0.5000 0.5000 [1 per cell]  8 Se 3.25, 4 As 3.36
As 0.0000 0.0000 0.5000 [1 per cell]  2 Mn 2.22
Se 0.0000 0.5000 0.0000 [2 per cell]  2 Mn 2.37

=====

Density functional theory data (SCAN) for a crystal of Cs2BrCl relaxed with PBEsol.

- energy relative to the lowest polymorph listed for this composition (kJ/mol of atoms) = 0.00
- formation energy without anion corrections (eV per atom) = -2.08
- energy (eV/atom) = -27.8475

Cell: 5.8825 5.8825 4.1560 Å, 90.00 90.00 90.00°
Last column: nearest neighbours and their distance in Å.
Space group P4/mmm (No. 123)
Inequivalent atoms, fractional coordinates:
Cs 0.0000 0.5000 0.0000 [2 per cell]  4 Cl 3.60, 4 Br 3.60
Br 0.0000 0.0000 0.5000 [1 per cell]  8 Cs 3.60
Cl 0.5000 0.5000 0.5000 [1 per cell]  8 Cs 3.60

=====

Density functional theory data (SCAN) for a crystal of ScTc2 relaxed with PBEsol.

- formation enthalpy at 0 K (eV per atom) = -0.395
- energy relative to the lowest polymorph listed for this composition (kJ/mol of atoms) = 0.00
- energy (eV/atom) = -28.5142

Cell: 5.1704 5.1704 8.4838 Å, 90.00 90.00 120.00°
Last column: nearest neighbours and their distance in Å.
Space group P6_3/mmc (No. 194)
Inequivalent atoms, fractional coordinates:
Sc 0.3333 0.6667 0.0631 [4 per cell]  12 Tc 3.02-3.03, 4 Sc 3.17
Tc 0.0000 0.0000 0.0000 [2 per cell]  6 Tc 2.62
Tc 0.1721 0.3441 0.7500 [6 per cell]  6 Tc 2.50-2.67

=====

Density functional theory data (SCAN) for a crystal of Sc2Mo relaxed with PBEsol.

- formation enthalpy at 0 K (eV per atom) = 0.220
- energy relative to the lowest polymorph listed for this composition (kJ/mol of atoms) = 17.65
- energy (eV/atom) = -20.9002

Cell: 4.7148 4.7148 2.9525 Å, 90.00 90.00 120.00°
Last column: nearest neighbours and their distance in Å.
Space group P-3m1 (No. 164)
Inequivalent atoms, fractional coordinates:
Sc 0.3333 0.6667 0.2767 [2 per cell]  3 Mo 2.84, 8 Sc 2.95-3.17
Mo 0.0000 0.0000 0.0000 [1 per cell]  6 Sc 2.84, 2 Mo 2.95

=====

Density functional theory data (SCAN) for a crystal of CrC3Br relaxed with PBEsol.

- formation energy without anion corrections (eV per atom) = 3.45
- energy (eV/atom) = -10.1749

Cell: 3.8663 3.8663 3.8663 Å, 90.00 90.00 90.00°
Last column: nearest neighbours and their distance in Å.
Space group Pm-3m (No. 221)
Inequivalent atoms, fractional coordinates:
Cr 0.0000 0.0000 0.0000 [1 per cell]  12 C 2.73
C 0.0000 0.5000 0.5000 [3 per cell]  2 Br 1.93
Br 0.5000 0.5000 0.5000 [1 per cell]  6 C 1.93

=====

Density functional theory data (SCAN) for a crystal of Zr4NbGa3 relaxed with PBEsol.

- formation enthalpy at 0 K (eV per atom) = -0.609
- energy (eV/atom) = -26.2293

Cell: 10.6762 10.6762 5.2396 Å, 90.00 90.00 90.00°
Last column: nearest neighbours and their distance in Å.
Space group I4/mcm (No. 140)
Inequivalent atoms, fractional coordinates:
Zr 0.0809 0.2204 0.0000 [16 per cell]  6 Ga 2.83-3.04, 3 Zr 3.00-3.14
Nb 0.0000 0.5000 0.2500 [4 per cell]  2 Nb 2.62, 4 Ga 2.73
Ga 0.0000 0.0000 0.2500 [4 per cell]  2 Ga 2.62, 8 Zr 2.83
Ga 0.1589 0.3411 0.5000 [8 per cell]  2 Nb 2.73, 8 Zr 2.86-3.04

=====

Density functional theory data (SCAN) for a crystal of CaSnAs2Se relaxed with PBEsol.

- energy relative to the lowest polymorph listed for this composition (kJ/mol of atoms) = 42.04
- formation energy without anion corrections (eV per atom) = 0.48
- energy (eV/atom) = -20.7259

Cell: 5.2442 5.2442 5.2411 Å, 90.00 90.00 90.00°
Last column: nearest neighbours and their distance in Å.
Space group P4/mmm (No. 123)
Inequivalent atoms, fractional coordinates:
Ca 0.0000 0.0000 0.0000 [1 per cell]  2 Se 2.62, 4 As 2.62
Sn 0.5000 0.5000 0.5000 [1 per cell]  8 As 3.71, 4 Se 3.71
As 0.0000 0.5000 0.0000 [2 per cell]  2 Ca 2.62
Se 0.0000 0.0000 0.5000 [1 per cell]  2 Ca 2.62

=====

Density functional theory data (SCAN) for a crystal of Cs2SiPt relaxed with PBEsol.

- formation energy without anion corrections (eV per atom) = -0.24
- energy (eV/atom) = -39.1935

Cell: 12.7471 12.7471 4.5551 Å, 90.00 90.00 90.00°
Last column: nearest neighbours and their distance in Å.
Space group I-42d (No. 122)
Inequivalent atoms, fractional coordinates:
Cs 0.0807 0.7500 0.1250 [8 per cell]  2 Pt 3.40, 2 Si 3.76
Si 0.0000 0.0000 0.5000 [4 per cell]  2 Pt 2.28
Pt 0.0000 0.0000 0.0000 [4 per cell]  2 Si 2.28

=====

Density functional theory data (SCAN) for a crystal of MgInPb2 relaxed with PBEsol.

- formation enthalpy at 0 K (eV per atom) = 0.032
- energy (eV/atom) = -47.4488

Cell: 7.5834 7.5834 7.5834 Å, 90.00 90.00 90.00°
Last column: nearest neighbours and their distance in Å.
Space group F-43m (No. 216)
Inequivalent atoms, fractional coordinates:
Mg 0.0000 0.0000 0.0000 [4 per cell]  4 Pb 3.28, 4 In 3.28
In 0.2500 0.2500 0.2500 [4 per cell]  4 Mg 3.28, 4 Pb 3.28
Pb 0.0000 0.0000 0.5000 [4 per cell]  4 In 3.28, 4 Pb 3.28
Pb 0.2500 0.2500 0.7500 [4 per cell]  4 Pb 3.28, 4 Mg 3.28

=====

Density functional theory data (SCAN) for a crystal of Li2OsBr relaxed with PBEsol.

- energy relative to the lowest polymorph listed for this composition (kJ/mol of atoms) = 13.94
- formation energy without anion corrections (eV per atom) = 0.46
- energy (eV/atom) = -23.5736

Cell: 4.3846 4.3846 2.9882 Å, 90.00 90.00 90.00°
Last column: nearest neighbours and their distance in Å.
Space group P4/mmm (No. 123)
Inequivalent atoms, fractional coordinates:
Li 0.0000 0.5000 0.0000 [2 per cell]  4 Br 2.65, 4 Os 2.65
Os 0.0000 0.0000 0.5000 [1 per cell]  8 Li 2.65
Br 0.5000 0.5000 0.5000 [1 per cell]  8 Li 2.65

=====

Density functional theory data (SCAN) for a crystal of Ba2SrAs relaxed with PBEsol.

- formation enthalpy at 0 K (eV per atom) = -0.713
- energy (eV/atom) = -31.1049

Cell: 4.5763 4.5763 34.4937 Å, 90.00 90.00 120.00°
Last column: nearest neighbours and their distance in Å.
Space group R-3m (No. 166, hexagonal axes)
Inequivalent atoms, fractional coordinates:
Ba 0.0000 0.0000 0.2184 [6 per cell]  3 As 3.19
Sr 0.0000 0.0000 0.0000 [3 per cell]  6 Sr 4.58, 6 Ba 4.76
As 0.0000 0.0000 0.5000 [3 per cell]  6 Ba 3.19

=====

Density functional theory data (SCAN) for a crystal of CoIr2N relaxed with PBEsol.

- formation energy without anion corrections (eV per atom) = 0.69
- energy (eV/atom) = -41.5113

Cell: 6.1814 6.1814 5.0991 Å, 90.00 90.00 90.00°
Last column: nearest neighbours and their distance in Å.
Space group I-42d (No. 122)
Inequivalent atoms, fractional coordinates:
Co 0.0000 0.0000 0.0000 [4 per cell]  2 N 2.55, 8 Ir 2.66-2.67
Ir 0.1623 0.7500 0.6250 [8 per cell]  2 N 1.95
N 0.0000 0.0000 0.5000 [4 per cell]  4 Ir 1.95